VASP calculation (PBE) on a geometry-optimized K2Rb4S structure.

- SG: No. 139
- Electronic total energy: -12.753 eV/cell
- E_form (uncorrected): -0.3658 eV per atom

Unit cell a=13.487 b=13.487 c=13.487 alpha=152.39 beta=152.39 gamma=39.44
Positions (direct):
K: 0.197 0.197 0.000
K: 0.803 0.803 0.000
Rb: 0.000 0.500 0.500
Rb: 0.375 0.375 0.000
Rb: 0.500 0.000 0.500
Rb: 0.625 0.625 0.000
S: 0.500 0.500 0.000

VASP calculation (PBE) on a geometry-optimized Tm2Sc5Fe2 structure.

- SG: No. 64
- Electronic total energy: -115.187 eV/cell
- Energy of formation from the pure elements: -0.008 eV/atom

Unit cell a=9.835 b=9.835 c=6.579 alpha=90.00 beta=90.00 gamma=39.60
Positions (direct):
Tm: 0.232 0.232 0.000
Tm: 0.268 0.268 0.500
Tm: 0.732 0.732 0.500
Tm: 0.768 0.768 0.000
Sc: 0.000 0.000 0.000
Sc: 0.080 0.712 0.680
Sc: 0.212 0.580 0.180
Sc: 0.288 0.920 0.680
Sc: 0.420 0.788 0.180
Sc: 0.500 0.500 0.500
Sc: 0.580 0.212 0.820
Sc: 0.712 0.080 0.320
Sc: 0.788 0.420 0.820
Sc: 0.920 0.288 0.320
Fe: 0.117 0.883 0.389
Fe: 0.383 0.617 0.889
Fe: 0.617 0.383 0.111
Fe: 0.883 0.117 0.611

VASP calculation (PBE) on a geometry-optimized In2IrRu structure.

- SG: No. 216
- Electronic total energy: -22.088 eV/cell
- Energy of formation from the pure elements: 0.381 eV/atom

Unit cell a=4.635 b=4.635 c=4.635 alpha=60.00 beta=60.00 gamma=60.00
Positions (direct):
In: 0.000 0.000 0.000
In: 0.250 0.250 0.250
Ir: 0.500 0.500 0.500
Ru: 0.750 0.750 0.750

VASP calculation (PBE) on a geometry-optimized Cd2PI structure.

- SG: No. 166
- Electronic total energy: -9.259 eV/cell
- E_form (uncorrected): -0.1171 eV per atom

Unit cell a=8.383 b=8.383 c=8.383 alpha=29.07 beta=29.07 gamma=29.07
Positions (direct):
Cd: 0.117 0.117 0.117
Cd: 0.883 0.883 0.883
P: 0.500 0.500 0.500
I: 0.000 0.000 0.000

VASP calculation (PBE) on a geometry-optimized SmHoB4 structure.

- SG: No. 119
- Electronic total energy: -37.910 eV/cell
- Energy of formation from the pure elements: -0.317 eV/atom

Unit cell a=6.351 b=6.351 c=6.351 alpha=146.80 beta=146.80 gamma=47.65
Positions (direct):
Sm: 0.000 0.000 0.000
Ho: 0.750 0.250 0.500
B: 0.174 0.674 0.500
B: 0.326 0.826 0.500
B: 0.421 0.421 0.000
B: 0.579 0.579 0.000

VASP calculation (PBE) on a geometry-optimized V12Sn3W structure.

- SG: No. 47
- Electronic total energy: -135.407 eV/cell
- Energy of formation from the pure elements: -0.064 eV/atom

Unit cell a=4.929 b=4.946 c=9.866 alpha=90.00 beta=90.00 gamma=90.00
Positions (direct):
V: 0.000 0.000 0.118
V: 0.000 0.000 0.373
V: 0.000 0.000 0.627
V: 0.000 0.000 0.882
V: 0.250 0.500 0.500
V: 0.260 0.500 0.000
V: 0.500 0.241 0.242
V: 0.500 0.241 0.758
V: 0.500 0.759 0.242
V: 0.500 0.759 0.758
V: 0.740 0.500 0.000
V: 0.750 0.500 0.500
Sn: 0.000 0.500 0.249
Sn: 0.000 0.500 0.751
Sn: 0.500 0.000 0.500
W: 0.500 0.000 0.000

VASP calculation (PBE) on a geometry-optimized Tb3Pm12Zn structure.

- SG: No. 123
- Electronic total energy: -71.944 eV/cell
- Energy of formation from the pure elements: 0.014 eV/atom

Unit cell a=5.050 b=5.050 c=20.401 alpha=90.00 beta=90.00 gamma=90.00
Positions (direct):
Tb: 0.000 0.000 0.000
Tb: 0.000 0.000 0.255
Tb: 0.000 0.000 0.745
Pm: 0.000 0.500 0.128
Pm: 0.000 0.500 0.382
Pm: 0.000 0.500 0.618
Pm: 0.000 0.500 0.872
Pm: 0.500 0.000 0.128
Pm: 0.500 0.000 0.382
Pm: 0.500 0.000 0.618
Pm: 0.500 0.000 0.872
Pm: 0.500 0.500 0.000
Pm: 0.500 0.500 0.257
Pm: 0.500 0.500 0.500
Pm: 0.500 0.500 0.743
Zn: 0.000 0.000 0.500

VASP calculation (PBE) on a geometry-optimized GdScGaPb structure.

- SG: No. 216
- Electronic total energy: -28.760 eV/cell
- Energy of formation from the pure elements: -0.403 eV/atom

Unit cell a=5.167 b=5.167 c=5.167 alpha=60.00 beta=60.00 gamma=60.00
Positions (direct):
Gd: 0.000 0.000 0.000
Sc: 0.500 0.500 0.500
Ga: 0.750 0.750 0.750
Pb: 0.250 0.250 0.250

VASP calculation (PBE) on a geometry-optimized RbSmSe2 structure.

- SG: No. 166
- Electronic total energy: -19.608 eV/cell
- E_form (uncorrected): -1.7381 eV per atom

Unit cell a=8.394 b=8.394 c=8.394 alpha=29.89 beta=29.89 gamma=29.89
Positions (direct):
Rb: 0.000 0.000 0.000
Sm: 0.500 0.500 0.500
Se: 0.233 0.233 0.233
Se: 0.767 0.767 0.767

VASP calculation (PBE) on a geometry-optimized Sr3Cd2Ag3 structure.

- SG: No. 63
- Electronic total energy: -35.918 eV/cell
- Energy of formation from the pure elements: -0.316 eV/atom

Unit cell a=6.425 b=6.425 c=16.100 alpha=90.00 beta=90.00 gamma=135.33
Positions (direct):
Sr: 0.086 0.914 0.607
Sr: 0.086 0.914 0.893
Sr: 0.369 0.631 0.750
Sr: 0.631 0.369 0.250
Sr: 0.914 0.086 0.107
Sr: 0.914 0.086 0.393
Cd: 0.210 0.790 0.095
Cd: 0.210 0.790 0.405
Cd: 0.790 0.210 0.595
Cd: 0.790 0.210 0.905
Ag: 0.339 0.661 0.250
Ag: 0.391 0.609 0.539
Ag: 0.391 0.609 0.961
Ag: 0.609 0.391 0.039
Ag: 0.609 0.391 0.461
Ag: 0.661 0.339 0.750

VASP calculation (PBE) on a geometry-optimized SmCuSeF structure.

- SG: No. 129
- Electronic total energy: -42.550 eV/cell
- E_form (uncorrected): -1.7760 eV per atom

Unit cell a=3.827 b=3.827 c=9.332 alpha=90.00 beta=90.00 gamma=90.00
Positions (direct):
Sm: 0.250 0.250 0.175
Sm: 0.750 0.750 0.825
Cu: 0.250 0.750 0.500
Cu: 0.750 0.250 0.500
Se: 0.250 0.250 0.698
Se: 0.750 0.750 0.302
F: 0.250 0.750 0.000
F: 0.750 0.250 0.000

VASP calculation (PBE) on a geometry-optimized SrTeH4 structure.

- SG: No. 15
- Electronic total energy: -42.519 eV/cell

Unit cell a=6.028 b=6.028 c=6.682 alpha=91.06 beta=91.06 gamma=123.18
Positions (direct):
Sr: 0.164 0.836 0.750
Sr: 0.836 0.164 0.250
Te: 0.162 0.838 0.250
Te: 0.838 0.162 0.750
H: 0.316 0.483 0.393
H: 0.320 0.358 0.381
H: 0.358 0.320 0.881
H: 0.483 0.316 0.893
H: 0.517 0.684 0.107
H: 0.642 0.680 0.119
H: 0.680 0.642 0.619
H: 0.684 0.517 0.607

VASP calculation (PBE) on a geometry-optimized La3TeRu structure.

- SG: No. 12
- Electronic total energy: -61.921 eV/cell
- E_form (uncorrected): -0.7521 eV per atom

Unit cell a=6.631 b=6.631 c=11.414 alpha=104.29 beta=104.29 gamma=38.69
Positions (direct):
La: 0.094 0.094 0.390
La: 0.360 0.360 0.327
La: 0.368 0.368 0.874
La: 0.632 0.632 0.126
La: 0.640 0.640 0.673
La: 0.906 0.906 0.610
Te: 0.094 0.094 0.889
Te: 0.906 0.906 0.111
Ru: 0.271 0.271 0.614
Ru: 0.729 0.729 0.386

VASP calculation (PBE) on a geometry-optimized SrYPd4 structure.

- SG: No. 216
- Electronic total energy: -32.949 eV/cell
- Energy of formation from the pure elements: -0.672 eV/atom

Unit cell a=5.526 b=5.526 c=5.526 alpha=60.00 beta=60.00 gamma=60.00
Positions (direct):
Sr: 0.000 0.000 0.000
Y: 0.250 0.250 0.250
Pd: 0.126 0.625 0.625
Pd: 0.625 0.126 0.625
Pd: 0.625 0.625 0.126
Pd: 0.625 0.625 0.625

VASP calculation (PBE) on a geometry-optimized LiCrPt structure.

- SG: No. 107
- Electronic total energy: -17.361 eV/cell
- Energy of formation from the pure elements: 0.072 eV/atom

Unit cell a=5.960 b=5.960 c=5.960 alpha=153.82 beta=153.82 gamma=37.37
Positions (direct):
Li: 0.000 0.000 0.000
Cr: 0.318 0.318 0.000
Pt: 0.663 0.663 0.000

VASP calculation (PBE) on a geometry-optimized Na2PSe4 structure.

- SG: No. 12
- Electronic total energy: -24.475 eV/cell
- E_form (uncorrected): -0.3556 eV per atom

Unit cell a=5.874 b=5.874 c=7.646 alpha=105.30 beta=105.30 gamma=37.77
Positions (direct):
Na: 0.176 0.176 0.153
Na: 0.824 0.824 0.847
P: 0.500 0.500 0.500
Se: 0.164 0.164 0.542
Se: 0.459 0.459 0.145
Se: 0.541 0.541 0.855
Se: 0.836 0.836 0.458

VASP calculation (PBE) on a geometry-optimized Er5HfIn6 structure.

- SG: No. 71
- Electronic total energy: -53.374 eV/cell
- Energy of formation from the pure elements: -0.348 eV/atom

Unit cell a=9.089 b=9.089 c=9.089 alpha=146.02 beta=133.41 gamma=58.90
Positions (direct):
Er: 0.000 0.000 0.000
Er: 0.166 0.666 0.500
Er: 0.331 0.331 0.000
Er: 0.669 0.669 0.000
Er: 0.834 0.334 0.500
Hf: 0.500 0.000 0.500
In: 0.093 0.837 0.256
In: 0.262 0.500 0.762
In: 0.419 0.163 0.256
In: 0.581 0.837 0.744
In: 0.738 0.500 0.238
In: 0.907 0.163 0.744

VASP calculation (PBE) on a geometry-optimized TcTe4I structure.

- SG: No. 15
- Electronic total energy: -50.046 eV/cell
- E_form (uncorrected): -0.0900 eV per atom

Unit cell a=8.632 b=8.632 c=7.231 alpha=102.08 beta=102.08 gamma=116.47
Positions (direct):
Tc: 0.001 0.999 0.750
Tc: 0.999 0.001 0.250
Te: 0.068 0.788 0.462
Te: 0.160 0.291 0.112
Te: 0.212 0.932 0.038
Te: 0.291 0.160 0.612
Te: 0.709 0.840 0.388
Te: 0.788 0.068 0.962
Te: 0.840 0.709 0.888
Te: 0.932 0.212 0.538
I: 0.389 0.611 0.750
I: 0.611 0.389 0.250

VASP calculation (PBE) on a geometry-optimized Ce2YRh structure.

- SG: No. 63
- Electronic total energy: -54.502 eV/cell
- Energy of formation from the pure elements: -0.392 eV/atom

Unit cell a=5.966 b=5.966 c=9.876 alpha=90.00 beta=90.00 gamma=143.67
Positions (direct):
Ce: 0.138 0.862 0.557
Ce: 0.138 0.862 0.943
Ce: 0.862 0.138 0.057
Ce: 0.862 0.138 0.443
Y: 0.418 0.582 0.750
Y: 0.582 0.418 0.250
Rh: 0.297 0.703 0.250
Rh: 0.703 0.297 0.750

VASP calculation (PBE) on a geometry-optimized Pm3CSCl structure.

- SG: No. 11
- Electronic total energy: -71.877 eV/cell
- E_form (uncorrected): -1.0815 eV per atom

Unit cell a=8.058 b=3.671 c=9.985 alpha=90.00 beta=104.18 gamma=90.00
Positions (direct):
Pm: 0.019 0.250 0.350
Pm: 0.235 0.250 0.064
Pm: 0.374 0.750 0.602
Pm: 0.626 0.250 0.398
Pm: 0.765 0.750 0.936
Pm: 0.981 0.750 0.650
C: 0.171 0.250 0.588
C: 0.829 0.750 0.412
S: 0.311 0.750 0.297
S: 0.689 0.250 0.703
Cl: 0.354 0.750 0.890
Cl: 0.646 0.250 0.110

VASP calculation (PBE) on a geometry-optimized BaMgCo2 structure.

- SG: No. 99
- Electronic total energy: -16.278 eV/cell
- Energy of formation from the pure elements: 0.363 eV/atom

Unit cell a=3.231 b=3.231 c=8.047 alpha=90.00 beta=90.00 gamma=90.00
Positions (direct):
Ba: 0.000 0.000 0.000
Mg: 0.500 0.500 0.621
Co: 0.000 0.000 0.408
Co: 0.500 0.500 0.301

VASP calculation (PBE) on a geometry-optimized Sm4Y15Er structure.

- SG: No. 123
- Electronic total energy: -119.962 eV/cell
- Energy of formation from the pure elements: 0.022 eV/atom

Unit cell a=5.063 b=5.063 c=25.289 alpha=90.00 beta=90.00 gamma=90.00
Positions (direct):
Sm: 0.000 0.000 0.100
Sm: 0.000 0.000 0.301
Sm: 0.000 0.000 0.699
Sm: 0.000 0.000 0.900
Y: 0.000 0.500 0.000
Y: 0.000 0.500 0.201
Y: 0.000 0.500 0.401
Y: 0.000 0.500 0.599
Y: 0.000 0.500 0.799
Y: 0.500 0.000 0.000
Y: 0.500 0.000 0.201
Y: 0.500 0.000 0.401
Y: 0.500 0.000 0.599
Y: 0.500 0.000 0.799
Y: 0.500 0.500 0.100
Y: 0.500 0.500 0.301
Y: 0.500 0.500 0.500
Y: 0.500 0.500 0.699
Y: 0.500 0.500 0.900
Er: 0.000 0.000 0.500

VASP calculation (PBE) on a geometry-optimized Pm2NdZn2In2 structure.

- SG: No. 166
- Electronic total energy: -24.431 eV/cell
- Energy of formation from the pure elements: -0.305 eV/atom

Unit cell a=9.780 b=9.780 c=9.780 alpha=28.20 beta=28.20 gamma=28.20
Positions (direct):
Pm: 0.128 0.128 0.128
Pm: 0.872 0.872 0.872
Nd: 0.000 0.000 0.000
Zn: 0.402 0.402 0.402
Zn: 0.598 0.598 0.598
In: 0.264 0.264 0.264
In: 0.736 0.736 0.736